# 1
# La14InSn

La14InSn after structural relaxation (PBE-GGA, the Alexandria database).

Total DFT energy (no corrections): -4.911 eV/atom
Calculated formation energy: -2.86 eV/f.u.
SG: P4/mmm (123)

a = 7.2408 Å, b = 7.2408 Å, c = 10.4712 Å
α = 90.00°, β = 90.00°, γ = 90.00°
With the nearest neighbours (Å) after each atom.
Atoms (fractional coordinates):
La 0.0000 0.0000 0.0000  12 La 3.62-3.72
La 0.0000 0.5000 0.0000  12 La 3.62-3.73
La 0.0000 0.5000 0.5000  8 La 3.59, 2 In 3.62, 2 Sn 3.62
La 0.2487 0.2487 0.2592  1 Sn 3.58, 10 La 3.59-3.74, 1 In 3.60
La 0.2487 0.2487 0.7408  1 Sn 3.58, 10 La 3.59-3.74, 1 In 3.60
La 0.2487 0.7513 0.2592  1 Sn 3.58, 10 La 3.59-3.74, 1 In 3.60
La 0.2487 0.7513 0.7408  1 Sn 3.58, 10 La 3.59-3.74, 1 In 3.60
La 0.5000 0.0000 0.0000  12 La 3.62-3.73
La 0.5000 0.0000 0.5000  8 La 3.59, 2 In 3.62, 2 Sn 3.62
La 0.5000 0.5000 0.0000  12 La 3.62-3.74
La 0.7513 0.2487 0.2592  1 Sn 3.58, 10 La 3.59-3.74, 1 In 3.60
La 0.7513 0.2487 0.7408  1 Sn 3.58, 10 La 3.59-3.74, 1 In 3.60
La 0.7513 0.7513 0.2592  1 Sn 3.58, 10 La 3.59-3.74, 1 In 3.60
La 0.7513 0.7513 0.7408  1 Sn 3.58, 10 La 3.59-3.74, 1 In 3.60
In 0.5000 0.5000 0.5000  12 La 3.60-3.62
Sn 0.0000 0.0000 0.5000  12 La 3.58-3.62

=====

# 2
# Y3MgPt

Y3MgPt after structural relaxation (PBE-GGA, the Alexandria database).

Total DFT energy (no corrections): -5.732 eV/atom
Calculated formation energy: -1.63 eV/f.u.
SG: Pm-3m (221)
Polymorph energy (0 for the lowest one): 0.000 eV per atom

a = 5.4640 Å, b = 5.4640 Å, c = 5.4640 Å
α = 90.00°, β = 90.00°, γ = 90.00°
With the nearest neighbours (Å) after each atom.
Atoms (fractional coordinates):
Y 0.0000 0.0000 0.5000  2 Pt 2.73
Y 0.0000 0.5000 0.0000  2 Pt 2.73
Y 0.5000 0.0000 0.0000  2 Pt 2.73
Mg 0.5000 0.5000 0.5000  12 Y 3.86
Pt 0.0000 0.0000 0.0000  6 Y 2.73

=====

# 3
# ZrSiRu

ZrSiRu after structural relaxation (PBE-GGA, the Alexandria database).

E_form (uncorrected): -0.95 eV/atom
Total DFT energy (no corrections): -8.694 eV/atom
SG: Ima2 (46)

a = 7.6570 Å, b = 7.6570 Å, c = 7.6570 Å
α = 121.97°, β = 81.71°, γ = 127.93°
With the nearest neighbours (Å) after each atom.
Atoms (fractional coordinates):
Zr 0.0024 0.2500 0.2524  5 Si 2.73-2.77, 4 Ru 2.93-2.98
Zr 0.1412 0.1094 0.5318  5 Si 2.73-2.75, 2 Ru 2.94
Zr 0.1802 0.6294 0.0508  5 Si 2.74-2.92, 6 Ru 2.89-2.97
Zr 0.5776 0.6094 0.4682  5 Si 2.73-2.75, 2 Ru 2.94
Zr 0.5785 0.1294 0.9492  5 Si 2.74-2.92, 6 Ru 2.89-2.97
Zr 0.9976 0.7500 0.7476  5 Si 2.73-2.77, 4 Ru 2.93-2.98
Si 0.2471 0.0747 0.1623  3 Ru 2.57-2.60, 6 Zr 2.73-2.75
Si 0.2471 0.5849 0.6724  3 Ru 2.57-2.60, 6 Zr 2.73-2.75
Si 0.5673 0.3391 0.7282  6 Ru 2.47-2.52, 1 Zr 2.75
Si 0.6109 0.8391 0.2718  6 Ru 2.47-2.52, 1 Zr 2.75
Si 0.9124 0.0849 0.8377  3 Ru 2.57-2.60, 6 Zr 2.73-2.75
Si 0.9124 0.5747 0.3276  3 Ru 2.57-2.60, 6 Zr 2.73-2.75
Ru 0.3374 0.3374 0.0000  4 Si 2.52-2.60
Ru 0.3374 0.8374 0.5000  4 Si 2.52-2.60
Ru 0.5813 0.1803 0.3533  4 Si 2.47-2.58
Ru 0.5813 0.7280 0.9010  4 Si 2.47-2.58
Ru 0.8269 0.2280 0.6467  4 Si 2.47-2.58
Ru 0.8269 0.6803 0.0990  4 Si 2.47-2.58

=====

# 4
# NiAgMo2

NiAgMo2 after structural relaxation (PBE-GGA, the Alexandria database).

Total DFT energy (no corrections): -7.266 eV/atom
Calculated formation energy: 1.23 eV/f.u.
SG: P4mm (99)
Polymorph energy (0 for the lowest one): 0.107 eV per atom

a = 3.2091 Å, b = 3.2091 Å, c = 5.9385 Å
α = 90.00°, β = 90.00°, γ = 90.00°
With the nearest neighbours (Å) after each atom.
Atoms (fractional coordinates):
Ni 0.0000 0.0000 0.0000  5 Mo 2.65-2.72, 4 Ag 2.69
Ag 0.5000 0.5000 0.2432  4 Ni 2.69, 5 Mo 2.81-2.88
Mo 0.0000 0.0000 0.5413  4 Mo 2.65, 1 Ni 2.72, 4 Ag 2.88
Mo 0.5000 0.5000 0.7705  4 Mo 2.65, 4 Ni 2.65, 1 Ag 2.81

=====

# 5
# Zr2MoAs

Zr2MoAs after structural relaxation (PBE-GGA, the Alexandria database).

Total DFT energy (no corrections): -8.640 eV/atom
Calculated formation energy: -1.98 eV/f.u.
SG: P4/mmm (123)

a = 3.5131 Å, b = 3.5131 Å, c = 6.0925 Å
α = 90.00°, β = 90.00°, γ = 90.00°
With the nearest neighbours (Å) after each atom.
Atoms (fractional coordinates):
Zr 0.0000 0.0000 0.2491  4 As 2.91, 4 Mo 2.92, 2 Zr 3.03-3.06
Zr 0.0000 0.0000 0.7509  4 As 2.91, 4 Mo 2.92, 2 Zr 3.03-3.06
Mo 0.5000 0.5000 0.5000  8 Zr 2.92, 2 As 3.05
As 0.5000 0.5000 0.0000  8 Zr 2.91, 2 Mo 3.05

=====

# 6
# Tb2Y2HoEr4

Tb2Y2HoEr4 after structural relaxation (PBE-GGA, the Alexandria database).

Total DFT energy (no corrections): -5.004 eV/atom
Calculated formation energy: -0.02 eV/f.u.
SG: C2/m (12)

a = 9.4342 Å, b = 9.4342 Å, c = 9.4741 Å
α = 115.27°, β = 115.27°, γ = 21.78°
With the nearest neighbours (Å) after each atom.
Atoms (fractional coordinates):
Tb 0.1662 0.1662 0.0017  3 Er 3.51-3.52, 3 Y 3.53-3.54, 2 Ho 3.55, 4 Tb 3.57-3.59
Tb 0.8338 0.8338 0.9983  3 Er 3.51-3.52, 3 Y 3.53-3.54, 2 Ho 3.55, 4 Tb 3.57-3.59
Y 0.3526 0.3526 0.3354  7 Er 3.48-3.58, 3 Tb 3.53-3.54, 2 Y 3.57
Y 0.6474 0.6474 0.6646  7 Er 3.48-3.58, 3 Tb 3.53-3.54, 2 Y 3.57
Ho 0.5000 0.5000 0.0000  6 Er 3.51-3.52, 4 Tb 3.55, 2 Ho 3.57
Er 0.0188 0.0188 0.3332  4 Y 3.49-3.57, 2 Ho 3.51, 1 Tb 3.52, 5 Er 3.52-3.57
Er 0.3150 0.3150 0.6649  3 Y 3.48-3.58, 6 Er 3.49-3.57, 2 Tb 3.51, 1 Ho 3.52
Er 0.6850 0.6850 0.3351  3 Y 3.48-3.58, 6 Er 3.49-3.57, 2 Tb 3.51, 1 Ho 3.52
Er 0.9812 0.9812 0.6668  4 Y 3.49-3.57, 2 Ho 3.51, 1 Tb 3.52, 5 Er 3.52-3.57